Below is a geometry-optimized TcSnHg2Pb structure, with properties calculated at the PBE-GGA level.

Fermi-level density of states ... 0.836 states/eV per atom
Uncorrected energy ... -3.23 eV per atom
Volume ... 144.67 Å³ per cell

Unit cell a=5.3244 b=5.3244 c=5.1030 alpha=90.00 beta=90.00 gamma=90.00
Closest atoms and distances in Å follow each position.
Fractional positions:
Tc: 0.0000 0.0000 0.0000  2 Sn 2.55, 4 Hg 2.66
Sn: 0.0000 0.0000 0.5000  2 Tc 2.55
Hg: 0.0000 0.5000 0.0000  2 Tc 2.66
Hg: 0.5000 0.0000 0.0000  2 Tc 2.66
Pb: 0.5000 0.5000 0.5000  8 Hg 3.69, 4 Sn 3.76